Compound: CuHg2SeO
Source: Alexandria
Functional: PBE
Structure: relaxed

## Properties
Electronic total energy, eV/atom: -2.117
Magnetic moment, μB per formula unit: 0.000
Space group: P4/mmm, No. 123
Formation energy from raw total energies, meV per atom: 512

Unit cell a=4.8252 b=4.8252 c=4.3122 alpha=90.00 beta=90.00 gamma=90.00
Last column: nearest neighbours and their distance in Å.
Element x y z (fractional)
Hg  0.0000  0.5000  0.0000  2 O 2.41
Se  0.0000  0.0000  0.5000  2 O 2.16
Cu  0.5000  0.5000  0.5000  8 Hg 3.24, 4 Se 3.41
Hg  0.5000  0.0000  0.0000  2 O 2.41
O  0.0000  0.0000  0.0000  2 Se 2.16, 4 Hg 2.41